Below is an optimized crystal structure of PrHgPdRh, with properties calculated at the GGA-PBE level.

```
PrHgPdRh
1.0
6.8694 0.0000 0.0000
0.0000 6.8694 0.0000
0.0000 0.0000 6.8694
Pr Hg Pd Rh
4 4 4 4
direct
0.0000 0.0000 0.0000 Pr
0.0000 0.5000 0.5000 Pr
0.5000 0.0000 0.5000 Pr
0.5000 0.5000 0.0000 Pr
0.0000 0.0000 0.5000 Hg
0.0000 0.5000 0.0000 Hg
0.5000 0.0000 0.0000 Hg
0.5000 0.5000 0.5000 Hg
0.2500 0.2500 0.7500 Pd
0.2500 0.7500 0.2500 Pd
0.7500 0.2500 0.2500 Pd
0.7500 0.7500 0.7500 Pd
0.2500 0.2500 0.2500 Rh
0.2500 0.7500 0.7500 Rh
0.7500 0.2500 0.7500 Rh
0.7500 0.7500 0.2500 Rh
```

Results
- SG: No. 216
- N(E_F): 0.597 states/eV per atom
- E_tot: -4.88 eV per atom
- Formation enthalpy at 0 K: -45.4 kJ/mol of atoms


Below is an optimized crystal structure of Pr5Hg2PdRh2, with properties calculated at the GGA-PBE level.

```
Pr5Hg2PdRh2
1.0
11.9077 0.0000 0.0000
0.0000 11.9077 0.0000
0.0000 0.0000 3.7876
Pr Hg Pd Rh
10 4 2 4
direct
0.0000 0.5000 0.0000 Pr
0.0844 0.1941 0.0000 Pr
0.1941 0.9156 0.0000 Pr
0.3059 0.4156 0.0000 Pr
0.4156 0.6941 0.0000 Pr
0.5000 0.0000 0.0000 Pr
0.5844 0.3059 0.0000 Pr
0.6941 0.5844 0.0000 Pr
0.8059 0.0844 0.0000 Pr
0.9156 0.8059 0.0000 Pr
0.1726 0.6726 0.5000 Hg
0.3274 0.1726 0.5000 Hg
0.6726 0.8274 0.5000 Hg
0.8274 0.3274 0.5000 Hg
0.0000 0.0000 0.5000 Pd
0.5000 0.5000 0.5000 Pd
0.1330 0.3670 0.5000 Rh
0.3670 0.8670 0.5000 Rh
0.6330 0.1330 0.5000 Rh
0.8670 0.6330 0.5000 Rh
```

Results
- SG: No. 127
- N(E_F): 0.803 states/eV per atom
- E_tot: -4.97 eV per atom
- Formation enthalpy at 0 K: -51.1 kJ/mol of atoms


Below is an optimized crystal structure of Pr2HgSb3Pd4, with properties calculated at the GGA-PBE level.

```
Pr2HgSb3Pd4
1.0
4.4908 0.0000 0.0000
0.0000 4.4908 0.0000
0.0000 0.0000 11.2546
Pr Hg Sb Pd
2 1 3 4
direct
0.0000 0.5000 0.2384 Pr
0.5000 0.0000 0.7616 Pr
0.0000 0.0000 0.5000 Hg
0.0000 0.5000 0.8685 Sb
0.5000 0.0000 0.1315 Sb
0.5000 0.5000 0.5000 Sb
0.0000 0.0000 0.0000 Pd
0.0000 0.5000 0.6410 Pd
0.5000 0.0000 0.3590 Pd
0.5000 0.5000 0.0000 Pd
```

Results
- SG: No. 115
- N(E_F): 0.465 states/eV per atom
- Uncorrected formation energy: -0.77 eV per atom
- E_tot: -5.07 eV per atom